Record 1
# SrMg3Nb, relaxed, DFT GGA-PBE
# * density of states at the Fermi level: 4.02 states/eV per cell
# * calculated formation energy: 0.63 eV per atom
# * crystal system: cubic
# * energy above the lowest structure with this stoichiometry: 0 meV per atom
# * energy: -2.67 eV/atom
data_SrMg3Nb
_space_group_name_H-M_alt 'P 1'
_space_group_IT_number 1
_space_group_name_Hall 'P 1'
_cell_length_a 5.452
_cell_length_b 5.452
_cell_length_c 5.452
_cell_angle_alpha 90.00
_cell_angle_beta 90.00
_cell_angle_gamma 90.00
loop_
_atom_site_label
_atom_site_fract_x
_atom_site_fract_y
_atom_site_fract_z
_atom_site_occupancy
Sr1 0.000 0.000 0.000 1
Mg1 0.000 0.500 0.500 1
Mg2 0.500 0.000 0.500 1
Mg3 0.500 0.500 0.000 1
Nb1 0.500 0.500 0.500 1


Record 2
# YThPdRh, relaxed, DFT GGA-PBE
# * density of states at the Fermi level: 3.17 states/eV per cell
# * calculated formation energy: -0.91 eV per atom
# * crystal system: orthorhombic
# * energy above the lowest structure with this stoichiometry: 0 meV per atom
# * energy: -7.52 eV/atom
data_YThPdRh
_space_group_name_H-M_alt 'P 1'
_space_group_IT_number 1
_space_group_name_Hall 'P 1'
_cell_length_a 4.249
_cell_length_b 5.967
_cell_length_c 5.967
_cell_angle_alpha 37.52
_cell_angle_beta 90.00
_cell_angle_gamma 90.00
loop_
_atom_site_label
_atom_site_fract_x
_atom_site_fract_y
_atom_site_fract_z
_atom_site_occupancy
Y1 0.000 0.000 0.000 1
Th1 0.500 0.276 0.276 1
Pd1 0.500 0.554 0.554 1
Rh1 0.000 0.739 0.739 1